Rb4SrTh3S8 | PBE | relaxed

a = 9.1390 Å, b = 9.1390 Å, c = 9.1390 Å
α = 55.11°, β = 55.11°, γ = 55.11°
With the nearest neighbours (Å) after each atom.
Atoms (fractional coordinates):
Rb  0.0000  0.0000  0.0000  6 S 3.28
Rb  0.0000  0.5000  0.5000  6 S 3.38-3.41
Rb  0.5000  0.0000  0.5000  6 S 3.38-3.41
Rb  0.5000  0.5000  0.0000  6 S 3.38-3.41
Sr  0.5000  0.5000  0.5000  6 S 2.99
Th  0.0000  0.0000  0.5000  6 S 2.84-2.88
Th  0.0000  0.5000  0.0000  6 S 2.84-2.88
Th  0.5000  0.0000  0.0000  6 S 2.84-2.88
S  0.2175  0.7414  0.7414  2 Th 2.84, 1 Sr 2.99
S  0.2323  0.2323  0.2323  3 Th 2.88
S  0.2586  0.2586  0.7825  2 Th 2.84, 1 Sr 2.99
S  0.2586  0.7825  0.2586  2 Th 2.84, 1 Sr 2.99
S  0.7414  0.2175  0.7414  2 Th 2.84, 1 Sr 2.99
S  0.7414  0.7414  0.2175  2 Th 2.84, 1 Sr 2.99
S  0.7677  0.7677  0.7677  3 Th 2.88
S  0.7825  0.2586  0.2586  2 Th 2.84, 1 Sr 2.99

Summary:
As for the raw formation energy: -1.71 eV per atom. The value obtained for the total magnetization is 0.0 μB per cell. The calculated volume is 478.3 Å³ per cell. The calculation puts the calculated total energy at -5.5150 eV/atom.